a:
# LiNb2Te4Cl10O, relaxed, DFT GGA-PBE
# Spin magnetization = 0.0308 μB per atom
data_LiNb2Te4Cl10O
_symmetry_space_group_name_H-M 'P 1'
_symmetry_Int_Tables_number 1
_cell_length_a 6.909
_cell_length_b 7.720
_cell_length_c 11.722
_cell_angle_alpha 85.01
_cell_angle_beta 86.30
_cell_angle_gamma 73.49
loop_
_symmetry_equiv_pos_as_xyz
'x,y,z'
loop_
_atom_site_label
_atom_site_type_symbol
_atom_site_fract_x
_atom_site_fract_y
_atom_site_fract_z
Li1 Li 0.000 0.000 0.000
Nb1 Nb 0.333 0.075 0.245
Nb2 Nb 0.503 0.143 0.929
Te1 Te 0.136 0.675 0.638
Te2 Te 0.692 0.531 0.519
Te3 Te 0.903 0.778 0.449
Te4 Te 0.925 0.428 0.708
Cl1 Cl 0.071 0.342 0.226
Cl2 Cl 0.117 0.897 0.184
Cl3 Cl 0.214 0.016 0.442
Cl4 Cl 0.254 0.429 0.909
Cl5 Cl 0.274 0.989 0.861
Cl6 Cl 0.563 0.213 0.308
Cl7 Cl 0.591 0.782 0.264
Cl8 Cl 0.614 0.191 0.726
Cl9 Cl 0.747 0.288 0.987
Cl10 Cl 0.766 0.856 0.938
O1 O 0.419 0.103 0.084

b:
# LiNb2Te4Cl10O, relaxed, DFT GGA-PBE
# Spin magnetization = 0.0610 μB per atom
data_LiNb2Te4Cl10O
_symmetry_space_group_name_H-M 'P -1'
_symmetry_Int_Tables_number 2
_cell_length_a 7.280
_cell_length_b 8.989
_cell_length_c 9.270
_cell_angle_alpha 79.90
_cell_angle_beta 87.26
_cell_angle_gamma 78.16
loop_
_symmetry_equiv_pos_as_xyz
'x,y,z'
'-x,-y,-z'
loop_
_atom_site_label
_atom_site_type_symbol
_atom_site_fract_x
_atom_site_fract_y
_atom_site_fract_z
Li1 Li 0.000 0.000 0.000
Nb1 Nb 0.034 0.638 0.127
Te1 Te 0.327 0.118 0.350
Te2 Te 0.409 0.815 0.482
Cl1 Cl 0.071 0.850 0.267
Cl2 Cl 0.146 0.466 0.681
Cl3 Cl 0.218 0.763 0.938
Cl4 Cl 0.239 0.173 0.969
Cl5 Cl 0.319 0.484 0.237
O1 O 0.000 0.500 0.000

We find a to be the most stable, with the next structure 0.6 kJ/mol of atoms higher.

a:
# LiNb2Te4Cl10O, relaxed, DFT GGA-PBE
# Spin magnetization = 0.0252 μB per atom
data_LiNb2Te4Cl10O
_symmetry_space_group_name_H-M 'P -1'
_symmetry_Int_Tables_number 2
_cell_length_a 6.721
_cell_length_b 9.143
_cell_length_c 10.968
_cell_angle_alpha 86.29
_cell_angle_beta 72.34
_cell_angle_gamma 80.70
loop_
_symmetry_equiv_pos_as_xyz
'x,y,z'
'-x,-y,-z'
loop_
_atom_site_label
_atom_site_type_symbol
_atom_site_fract_x
_atom_site_fract_y
_atom_site_fract_z
Li1 Li 0.000 0.000 0.000
Nb1 Nb 0.420 0.676 0.912
Te1 Te 0.005 0.134 0.356
Te2 Te 0.217 0.094 0.537
Cl1 Cl 0.138 0.766 0.098
Cl2 Cl 0.196 0.561 0.834
Cl3 Cl 0.291 0.920 0.809
Cl4 Cl 0.310 0.376 0.292
Cl5 Cl 0.346 0.193 0.031
O1 O 0.500 0.500 0.000

b:
# LiNb2Te4Cl10O, relaxed, DFT GGA-PBE
# Spin magnetization = 0.0637 μB per atom
data_LiNb2Te4Cl10O
_symmetry_space_group_name_H-M 'P 1'
_symmetry_Int_Tables_number 1
_cell_length_a 7.277
_cell_length_b 8.905
_cell_length_c 9.572
_cell_angle_alpha 82.62
_cell_angle_beta 89.52
_cell_angle_gamma 77.67
loop_
_symmetry_equiv_pos_as_xyz
'x,y,z'
loop_
_atom_site_label
_atom_site_type_symbol
_atom_site_fract_x
_atom_site_fract_y
_atom_site_fract_z
Li1 Li 0.000 0.000 0.000
Nb1 Nb 0.032 0.652 0.044
Nb2 Nb 0.095 0.929 0.314
Te1 Te 0.365 0.395 0.506
Te2 Te 0.441 0.127 0.691
Te3 Te 0.613 0.517 0.649
Te4 Te 0.666 0.261 0.848
Cl1 Cl 0.122 0.121 0.471
Cl2 Cl 0.190 0.808 0.871
Cl3 Cl 0.246 0.075 0.129
Cl4 Cl 0.319 0.487 0.111
Cl5 Cl 0.402 0.779 0.386
Cl6 Cl 0.747 0.852 0.961
Cl7 Cl 0.804 0.096 0.225
Cl8 Cl 0.852 0.529 0.203
Cl9 Cl 0.947 0.792 0.489
Cl10 Cl 0.980 0.501 0.861
O1 O 0.067 0.796 0.175

We find a to be the most stable, with the next structure 2.6 kJ/mol of atoms higher.

a:
# LiNbP2Cl, relaxed, DFT GGA-PBE
# Spin magnetization = 0.0000 μB per atom
data_LiNbP2Cl
_symmetry_space_group_name_H-M 'P 4/m m m'
_symmetry_Int_Tables_number 123
_symmetry_space_group_name_Hall '-P 4 2'
_cell_length_a 4.373
_cell_length_b 4.373
_cell_length_c 4.256
_cell_angle_alpha 90.00
_cell_angle_beta 90.00
_cell_angle_gamma 90.00
loop_
_atom_site_label
_atom_site_type_symbol
_atom_site_fract_x
_atom_site_fract_y
_atom_site_fract_z
Li1 Li 0.000 0.000 0.000
Nb1 Nb 0.500 0.500 0.500
P1 P 0.000 0.500 0.000
Cl1 Cl 0.000 0.000 0.500

b:
# LiNbP2Cl, relaxed, DFT GGA-PBE
# Spin magnetization = 0.0002 μB per atom
data_LiNbP2Cl
_symmetry_space_group_name_H-M 'P 4/m m m'
_symmetry_Int_Tables_number 123
_symmetry_space_group_name_Hall '-P 4 2'
_cell_length_a 4.809
_cell_length_b 4.809
_cell_length_c 5.135
_cell_angle_alpha 90.00
_cell_angle_beta 90.00
_cell_angle_gamma 90.00
loop_
_atom_site_label
_atom_site_type_symbol
_atom_site_fract_x
_atom_site_fract_y
_atom_site_fract_z
Li1 Li 0.000 0.000 0.000
Nb1 Nb 0.500 0.500 0.500
P1 P 0.000 0.500 0.500
Cl1 Cl 0.500 0.500 0.000

We find b to be the most stable, with the next structure 80.7 kJ/mol of atoms higher.

a:
# LiNbTePdCl, relaxed, DFT GGA-PBE
# Spin magnetization = 0.0000 μB per atom
data_LiNbTePdCl
_symmetry_space_group_name_H-M 'P 1'
_symmetry_Int_Tables_number 1
_cell_length_a 3.672
_cell_length_b 3.673
_cell_length_c 10.047
_cell_angle_alpha 84.91
_cell_angle_beta 84.72
_cell_angle_gamma 60.04
loop_
_symmetry_equiv_pos_as_xyz
'x,y,z'
loop_
_atom_site_label
_atom_site_type_symbol
_atom_site_fract_x
_atom_site_fract_y
_atom_site_fract_z
Li1 Li 0.000 0.000 0.000
Nb1 Nb 0.607 0.613 0.345
Te1 Te 0.908 0.917 0.535
Pd1 Pd 0.301 0.304 0.187
Cl1 Cl 0.346 0.345 0.925

b:
# LiNbTePdCl, relaxed, DFT GGA-PBE
# Spin magnetization = 0.0001 μB per atom
data_LiNbTePdCl
_symmetry_space_group_name_H-M 'P 1 m 1'
_symmetry_Int_Tables_number 6
_cell_length_a 4.105
_cell_length_b 3.520
_cell_length_c 7.988
_cell_angle_alpha 90.00
_cell_angle_beta 104.76
_cell_angle_gamma 90.00
loop_
_symmetry_equiv_pos_as_xyz
'x,y,z'
'x,-y,z'
loop_
_atom_site_label
_atom_site_type_symbol
_atom_site_fract_x
_atom_site_fract_y
_atom_site_fract_z
Li1 Li 0.000 0.000 0.000
Nb1 Nb 0.372 0.500 0.707
Te1 Te 0.231 0.000 0.422
Pd1 Pd 0.843 0.000 0.648
Cl1 Cl 0.540 0.500 0.034

c:
# LiNbTePdCl, relaxed, DFT GGA-PBE
# Spin magnetization = 0.2035 μB per atom
data_LiNbTePdCl
_symmetry_space_group_name_H-M 'C 1 m 1'
_symmetry_Int_Tables_number 8
_cell_length_a 7.445
_cell_length_b 4.302
_cell_length_c 8.184
_cell_angle_alpha 90.00
_cell_angle_beta 107.19
_cell_angle_gamma 90.00
loop_
_symmetry_equiv_pos_as_xyz
'x,y,z'
'x,-y,z'
'x+1/2,y+1/2,z'
'x+1/2,-y+1/2,z'
loop_
_atom_site_label
_atom_site_type_symbol
_atom_site_fract_x
_atom_site_fract_y
_atom_site_fract_z
Li1 Li 0.000 0.000 0.000
Nb1 Nb 0.247 0.000 0.732
Te1 Te 0.335 0.500 0.490
Pd1 Pd 0.053 0.500 0.649
Cl1 Cl 0.350 0.000 0.052

d:
# LiNbTePdCl, relaxed, DFT GGA-PBE
# Spin magnetization = 0.0686 μB per atom
data_LiNbTePdCl
_symmetry_space_group_name_H-M 'C 1 m 1'
_symmetry_Int_Tables_number 8
_cell_length_a 9.149
_cell_length_b 3.480
_cell_length_c 7.352
_cell_angle_alpha 90.00
_cell_angle_beta 107.10
_cell_angle_gamma 90.00
loop_
_symmetry_equiv_pos_as_xyz
'x,y,z'
'x,-y,z'
'x+1/2,y+1/2,z'
'x+1/2,-y+1/2,z'
loop_
_atom_site_label
_atom_site_type_symbol
_atom_site_fract_x
_atom_site_fract_y
_atom_site_fract_z
Li1 Li 0.000 0.000 0.000
Nb1 Nb 0.464 0.500 0.467
Te1 Te 0.320 0.000 0.175
Pd1 Pd 0.147 0.500 0.342
Cl1 Cl 0.490 0.000 0.744

We find b to be the most stable, with the next structure 1.7 kJ/mol of atoms higher.

a:
# LiNbSCl2, relaxed, DFT GGA-PBE
# Spin magnetization = 0.3999 μB per atom
data_LiNbSCl2
_symmetry_space_group_name_H-M 'P 4/m m m'
_symmetry_Int_Tables_number 123
_symmetry_space_group_name_Hall '-P 4 2'
_cell_length_a 4.308
_cell_length_b 4.308
_cell_length_c 4.906
_cell_angle_alpha 90.00
_cell_angle_beta 90.00
_cell_angle_gamma 90.00
loop_
_atom_site_label
_atom_site_type_symbol
_atom_site_fract_x
_atom_site_fract_y
_atom_site_fract_z
Li1 Li 0.000 0.000 0.000
Nb1 Nb 0.500 0.500 0.500
S1 S 0.000 0.000 0.500
Cl1 Cl 0.000 0.500 0.000

b:
# LiNbSCl2, relaxed, DFT GGA-PBE
# Spin magnetization = 0.1344 μB per atom
data_LiNbSCl2
_symmetry_space_group_name_H-M 'P 4/m m m'
_symmetry_Int_Tables_number 123
_symmetry_space_group_name_Hall '-P 4 2'
_cell_length_a 4.981
_cell_length_b 4.981
_cell_length_c 4.816
_cell_angle_alpha 90.00
_cell_angle_beta 90.00
_cell_angle_gamma 90.00
loop_
_atom_site_label
_atom_site_type_symbol
_atom_site_fract_x
_atom_site_fract_y
_atom_site_fract_z
Li1 Li 0.000 0.000 0.000
Nb1 Nb 0.500 0.500 0.500
S1 S 0.500 0.500 0.000
Cl1 Cl 0.000 0.500 0.500

We find b to be the most stable, with the next structure 64.9 kJ/mol of atoms higher.

a:
# Li3NdCl6, relaxed, DFT GGA-PBE
# Spin magnetization = 0.0000 μB per atom
data_Li3NdCl6
_symmetry_space_group_name_H-M 'C m m m'
_symmetry_Int_Tables_number 65
_symmetry_space_group_name_Hall '-C 2 2'
_cell_length_a 8.481
_cell_length_b 12.971
_cell_length_c 4.408
_cell_angle_alpha 90.00
_cell_angle_beta 90.00
_cell_angle_gamma 90.00
loop_
_atom_site_label
_atom_site_type_symbol
_atom_site_fract_x
_atom_site_fract_y
_atom_site_fract_z
Li1 Li 0.000 0.000 0.000
Li2 Li 0.250 0.250 0.500
Nd1 Nd 0.000 0.500 0.000
Cl1 Cl 0.000 0.360 0.500
Cl2 Cl 0.210 0.125 0.000

b:
# Li3NdCl6, relaxed, DFT GGA-PBE
# Spin magnetization = 0.0000 μB per atom
data_Li3NdCl6
_symmetry_space_group_name_H-M 'R 3'
_symmetry_Int_Tables_number 146
_symmetry_space_group_name_Hall 'R 3'
_cell_length_a 6.6342
_cell_length_b 6.6342
_cell_length_c 18.1491
_cell_angle_alpha 90.00
_cell_angle_beta 90.00
_cell_angle_gamma 120.00
loop_
_atom_site_label
_atom_site_type_symbol
_atom_site_fract_x
_atom_site_fract_y
_atom_site_fract_z
Li1 Li 0.0000 0.0000 0.0000
Li2 Li 0.0000 0.0000 0.2019
Li3 Li 0.0000 0.0000 0.5019
Nd1 Nd 0.0000 0.0000 0.7008
Cl1 Cl 0.0095 0.6884 0.6006
Cl2 Cl 0.0184 0.3733 0.7703

We find b to be the most stable, with the next structure 7.3 kJ/mol of atoms higher.

a:
# LiNd2Cl6, relaxed, DFT GGA-PBE
# Spin magnetization = 0.1113 μB per atom
data_LiNd2Cl6
_symmetry_space_group_name_H-M 'P 42/m n m'
_symmetry_Int_Tables_number 136
_symmetry_space_group_name_Hall '-P 4n 2n'
_cell_length_a 6.547
_cell_length_b 6.547
_cell_length_c 11.900
_cell_angle_alpha 90.00
_cell_angle_beta 90.00
_cell_angle_gamma 90.00
loop_
_atom_site_label
_atom_site_type_symbol
_atom_site_fract_x
_atom_site_fract_y
_atom_site_fract_z
Li1 Li 0.000 0.000 0.000
Nd1 Nd 0.000 0.000 0.345
Cl1 Cl 0.197 0.197 0.161
Cl2 Cl 0.224 0.224 0.500

b:
# LiNd2Cl6, relaxed, DFT GGA-PBE
# Spin magnetization = 0.0000 μB per atom
data_LiNd2Cl6
_symmetry_space_group_name_H-M 'C 1 2/m 1'
_symmetry_Int_Tables_number 12
_cell_length_a 13.999
_cell_length_b 3.668
_cell_length_c 11.481
_cell_angle_alpha 90.00
_cell_angle_beta 116.23
_cell_angle_gamma 90.00
loop_
_symmetry_equiv_pos_as_xyz
'x,y,z'
'-x,-y,-z'
'-x,y,-z'
'x,-y,z'
'x+1/2,y+1/2,z'
'-x+1/2,-y+1/2,-z'
'-x+1/2,y+1/2,-z'
'x+1/2,-y+1/2,z'
loop_
_atom_site_label
_atom_site_type_symbol
_atom_site_fract_x
_atom_site_fract_y
_atom_site_fract_z
Li1 Li 0.000 0.000 0.000
Nd1 Nd 0.184 0.500 0.301
Cl1 Cl 0.010 0.000 0.221
Cl2 Cl 0.156 0.500 0.536
Cl3 Cl 0.195 0.000 0.116

We find a to be the most stable, with the next structure 1.4 kJ/mol of atoms higher.

a:
# Li2NiCl4, relaxed, DFT GGA-PBE
# Spin magnetization = 0.0070 μB per atom
data_Li2NiCl4
_symmetry_space_group_name_H-M 'I -4 2 m'
_symmetry_Int_Tables_number 121
_symmetry_space_group_name_Hall 'I -4 2'
_cell_length_a 6.285
_cell_length_b 6.285
_cell_length_c 7.249
_cell_angle_alpha 90.00
_cell_angle_beta 90.00
_cell_angle_gamma 90.00
loop_
_atom_site_label
_atom_site_type_symbol
_atom_site_fract_x
_atom_site_fract_y
_atom_site_fract_z
Li1 Li 0.000 0.500 0.250
Ni1 Ni 0.000 0.000 0.000
Cl1 Cl 0.238 0.238 0.073

b:
# Li2NiCl4, relaxed, DFT GGA-PBE
# Spin magnetization = 0.0000 μB per atom
data_Li2NiCl4
_symmetry_space_group_name_H-M 'I 4/m m m'
_symmetry_Int_Tables_number 139
_symmetry_space_group_name_Hall '-I 4 2'
_cell_length_a 4.748
_cell_length_b 4.748
_cell_length_c 12.537
_cell_angle_alpha 90.00
_cell_angle_beta 90.00
_cell_angle_gamma 90.00
loop_
_atom_site_label
_atom_site_type_symbol
_atom_site_fract_x
_atom_site_fract_y
_atom_site_fract_z
Li1 Li 0.000 0.000 0.132
Ni1 Ni 0.000 0.000 0.500
Cl1 Cl 0.000 0.000 0.319
Cl2 Cl 0.000 0.500 0.000

We find a to be the most stable, with the next structure 6.3 kJ/mol of atoms higher.